(1)
An optimized crystal structure of Ho2GaFeBr2, computed with GGA-PBE.

The structure in CIF format:
```
data_Ho2GaFeBr2
_chemical_formula_sum 'Ho2 Ga1 Fe1 Br2'
_cell_length_a 4.053
_cell_length_b 4.053
_cell_length_c 11.178
_cell_angle_alpha 90.00
_cell_angle_beta 90.00
_cell_angle_gamma 120.00
_symmetry_space_group_name_H-M 'P 1'
_symmetry_Int_Tables_number 1
loop_
_symmetry_equiv_pos_as_xyz
'x,y,z'
loop_
_atom_site_label
_atom_site_fract_x
_atom_site_fract_y
_atom_site_fract_z
_atom_site_occupancy
Br1 0.000 0.000 0.334 1
Br2 0.667 0.333 0.665 1
Fe1 0.000 0.000 0.000 1
Ga1 0.667 0.333 0.003 1
Ho1 0.333 0.667 0.167 1
Ho2 0.333 0.667 0.831 1
```

(2)
An optimized crystal structure of GdHoFe2Br2, computed with GGA-PBE.

The structure in CIF format:
```
data_GdHoFe2Br2
_chemical_formula_sum 'Gd1 Ho1 Fe2 Br2'
_cell_length_a 3.863
_cell_length_b 3.863
_cell_length_c 11.587
_cell_angle_alpha 90.00
_cell_angle_beta 90.00
_cell_angle_gamma 120.00
_symmetry_space_group_name_H-M 'P 1'
_symmetry_Int_Tables_number 1
loop_
_symmetry_equiv_pos_as_xyz
'x,y,z'
loop_
_atom_site_label
_atom_site_fract_x
_atom_site_fract_y
_atom_site_fract_z
_atom_site_occupancy
Br1 0.333 0.667 0.334 1
Br2 0.667 0.333 0.662 1
Fe1 0.667 0.333 0.008 1
Fe2 0.333 0.667 0.997 1
Gd1 0.000 0.000 0.830 1
Ho1 0.000 0.000 0.170 1
```

(3)
An optimized crystal structure of GdTmFe2Br2, computed with GGA-PBE.

The structure in CIF format:
```
data_GdTmFe2Br2
_chemical_formula_sum 'Gd1 Tm1 Fe2 Br2'
_cell_length_a 3.849
_cell_length_b 3.849
_cell_length_c 11.565
_cell_angle_alpha 90.00
_cell_angle_beta 90.00
_cell_angle_gamma 120.00
_symmetry_space_group_name_H-M 'P 1'
_symmetry_Int_Tables_number 1
loop_
_symmetry_equiv_pos_as_xyz
'x,y,z'
loop_
_atom_site_label
_atom_site_fract_x
_atom_site_fract_y
_atom_site_fract_z
_atom_site_occupancy
Br1 0.333 0.667 0.332 1
Br2 0.667 0.333 0.661 1
Fe1 0.667 0.333 0.009 1
Fe2 0.333 0.667 0.998 1
Gd1 0.000 0.000 0.830 1
Tm1 0.000 0.000 0.170 1
```

(4)
An optimized crystal structure of GdYFe2Br2, computed with GGA-PBE.

The structure in CIF format:
```
data_GdYFe2Br2
_chemical_formula_sum 'Gd1 Y1 Fe2 Br2'
_cell_length_a 3.868
_cell_length_b 3.868
_cell_length_c 11.683
_cell_angle_alpha 90.00
_cell_angle_beta 90.00
_cell_angle_gamma 120.00
_symmetry_space_group_name_H-M 'P 1'
_symmetry_Int_Tables_number 1
loop_
_symmetry_equiv_pos_as_xyz
'x,y,z'
loop_
_atom_site_label
_atom_site_fract_x
_atom_site_fract_y
_atom_site_fract_z
_atom_site_occupancy
Br1 0.333 0.667 0.335 1
Br2 0.667 0.333 0.663 1
Fe1 0.667 0.333 0.006 1
Fe2 0.333 0.667 0.995 1
Gd1 0.000 0.000 0.829 1
Y1 0.000 0.000 0.171 1
```

(5)
An optimized crystal structure of K2FeGeBr6, computed with GGA-PBE.

The structure in CIF format:
```
data_K2FeGeBr6
_chemical_formula_sum 'K2 Fe1 Ge1 Br6'
_cell_length_a 7.618
_cell_length_b 7.618
_cell_length_c 7.618
_cell_angle_alpha 60.00
_cell_angle_beta 60.00
_cell_angle_gamma 60.00
_symmetry_space_group_name_H-M 'P 1'
_symmetry_Int_Tables_number 1
loop_
_symmetry_equiv_pos_as_xyz
'x,y,z'
loop_
_atom_site_label
_atom_site_fract_x
_atom_site_fract_y
_atom_site_fract_z
_atom_site_occupancy
Br1 0.758 0.242 0.242 1
Br2 0.758 0.758 0.242 1
Br3 0.242 0.758 0.242 1
Br4 0.242 0.242 0.758 1
Br5 0.758 0.242 0.758 1
Br6 0.242 0.758 0.758 1
Fe1 0.000 0.000 0.000 1
Ge1 0.500 0.500 0.500 1
K1 0.250 0.250 0.250 1
K2 0.750 0.750 0.750 1
```

(6)
An optimized crystal structure of Rb2FeGeBr6, computed with GGA-PBE.

The structure in CIF format:
```
data_Rb2FeGeBr6
_chemical_formula_sum 'Rb2 Fe1 Ge1 Br6'
_cell_length_a 7.666
_cell_length_b 7.666
_cell_length_c 7.666
_cell_angle_alpha 60.00
_cell_angle_beta 60.00
_cell_angle_gamma 60.00
_symmetry_space_group_name_H-M 'P 1'
_symmetry_Int_Tables_number 1
loop_
_symmetry_equiv_pos_as_xyz
'x,y,z'
loop_
_atom_site_label
_atom_site_fract_x
_atom_site_fract_y
_atom_site_fract_z
_atom_site_occupancy
Br1 0.742 0.258 0.258 1
Br2 0.258 0.742 0.258 1
Br3 0.742 0.742 0.258 1
Br4 0.258 0.258 0.742 1
Br5 0.742 0.258 0.742 1
Br6 0.258 0.742 0.742 1
Fe1 0.500 0.500 0.500 1
Ge1 0.000 0.000 0.000 1
Rb1 0.250 0.250 0.250 1
Rb2 0.750 0.750 0.750 1
```

(7)
An optimized crystal structure of Fe2HgBr8, computed with GGA-PBE.

The structure in CIF format:
```
data_Fe2HgBr8
_chemical_formula_sum 'Fe2 Hg1 Br8'
_cell_length_a 8.125
_cell_length_b 8.125
_cell_length_c 6.551
_cell_angle_alpha 94.06
_cell_angle_beta 94.06
_cell_angle_gamma 79.61
_symmetry_space_group_name_H-M 'P 1'
_symmetry_Int_Tables_number 1
loop_
_symmetry_equiv_pos_as_xyz
'x,y,z'
loop_
_atom_site_label
_atom_site_fract_x
_atom_site_fract_y
_atom_site_fract_z
_atom_site_occupancy
Br1 0.624 0.624 0.234 1
Br2 0.712 0.077 0.237 1
Br3 0.077 0.712 0.237 1
Br4 0.195 0.195 0.281 1
Br5 0.805 0.805 0.719 1
Br6 0.923 0.288 0.763 1
Br7 0.288 0.923 0.763 1
Br8 0.376 0.376 0.766 1
Fe1 0.801 0.801 0.356 1
Fe2 0.199 0.199 0.644 1
Hg1 0.000 0.000 0.000 1
```

(8)
An optimized crystal structure of K2FeHgBr6, computed with GGA-PBE.

The structure in CIF format:
```
data_K2FeHgBr6
_chemical_formula_sum 'K2 Fe1 Hg1 Br6'
_cell_length_a 7.718
_cell_length_b 7.718
_cell_length_c 7.718
_cell_angle_alpha 60.00
_cell_angle_beta 60.00
_cell_angle_gamma 60.00
_symmetry_space_group_name_H-M 'P 1'
_symmetry_Int_Tables_number 1
loop_
_symmetry_equiv_pos_as_xyz
'x,y,z'
loop_
_atom_site_label
_atom_site_fract_x
_atom_site_fract_y
_atom_site_fract_z
_atom_site_occupancy
Br1 0.764 0.236 0.236 1
Br2 0.236 0.764 0.236 1
Br3 0.764 0.764 0.236 1
Br4 0.236 0.236 0.764 1
Br5 0.764 0.236 0.764 1
Br6 0.236 0.764 0.764 1
Fe1 0.000 0.000 0.000 1
Hg1 0.500 0.500 0.500 1
K1 0.250 0.250 0.250 1
K2 0.750 0.750 0.750 1
```

Computed DFT total energy, in the same sequence as the records: -29.7, -34.8, -34.7, -36.7, -34.5, -34.6, -35.2, -29.8 eV for the cell shown.